Material: Mn2Pb2Br
Method: DFT, PBE-GGA
State: optimized geometry

Summary:
Spin magnetization = 1.4078 μB per atom
Volume = 25.54 Å³/atom
E above lowest polymorph = 0.999 eV per formula unit
Formation energy without anion corrections = 0.480 eV/atom

Geometry as POSCAR:
```
Mn2Pb2Br
1.0
-2.949 -2.776 -4.137
0.780 -5.006 2.803
-4.323 -3.318 1.257
Mn Pb Br
2 2 1
direct
0.324 0.324 0.351
0.676 0.676 0.649
0.250 0.750 0.500
0.750 0.250 0.500
0.000 0.000 0.000
```

***

Material: Mn4Ni6H19
Method: DFT, PBE-GGA
State: optimized geometry

Summary:
E = -132.92 eV for the cell shown
Spin magnetization = 0.4810 μB per atom
Volume = 6.34 Å³/atom

Geometry as POSCAR:
```
Mn4Ni6H19
1.0
0.812 -1.782 -5.888
4.800 -1.931 3.426
-5.244 -2.476 2.206
H Ni Mn
19 6 4
direct
0.669 0.669 0.000
0.755 0.340 0.977
0.331 0.000 0.331
0.340 0.977 0.755
0.415 0.637 0.660
0.778 0.023 0.363
0.660 0.415 0.637
0.637 0.660 0.415
0.669 0.000 0.669
0.585 0.245 0.222
0.000 0.331 0.331
0.000 0.000 0.000
0.000 0.669 0.669
0.222 0.585 0.245
0.023 0.363 0.778
0.977 0.755 0.340
0.245 0.222 0.585
0.331 0.331 0.000
0.363 0.778 0.023
0.675 0.500 0.175
0.500 0.175 0.675
0.825 0.325 0.500
0.500 0.825 0.325
0.175 0.675 0.500
0.325 0.500 0.825
0.000 0.000 0.696
0.000 0.696 0.000
0.696 0.000 0.000
0.304 0.304 0.304
```

***

Material: PmDyYCd
Method: DFT, PBE-GGA
State: optimized geometry

Summary:
Spin magnetization = 0.0000 μB per atom
Volume = 29.77 Å³/atom
Formation energy = -0.16 eV/atom
E above lowest polymorph = 0.000 eV per formula unit

Geometry as POSCAR:
```
PmDyYCd
1.0
-3.477 0.444 -0.936
0.360 -2.555 -2.551
-2.421 -6.326 5.995
Pm Y Dy Cd
1 1 1 1
direct
0.000 0.000 0.073
0.500 0.500 0.793
0.500 0.500 0.349
0.000 0.000 0.570
```

***

Material: La8NdHo4
Method: DFT, PBE-GGA
State: optimized geometry

Summary:
Spin magnetization = 0.0000 μB per atom
Volume = 35.19 Å³/atom
Formation energy = 0.15 eV/atom

Geometry as POSCAR:
```
La8NdHo4
1.0
6.424 -0.001 -3.465
-4.147 6.007 0.000
1.574 1.087 10.602
Ho La Nd
4 8 1
direct
0.000 0.500 0.000
0.500 0.000 0.000
0.500 0.500 0.000
0.000 0.000 0.000
0.492 0.246 0.290
0.957 0.203 0.710
0.044 0.246 0.290
0.956 0.754 0.710
0.578 0.789 0.366
0.422 0.211 0.634
0.043 0.797 0.290
0.508 0.754 0.710
0.000 0.500 0.500
```

***

Material: Tl4In2Sn
Method: DFT, PBE-GGA
State: optimized geometry

Summary:
Spin magnetization = 0.0000 μB per atom
Volume = 38.00 Å³/atom
Formation energy = 0.28 eV/atom
E above lowest polymorph = 1.662 eV per formula unit

Geometry as POSCAR:
```
Tl4In2Sn
1.0
-4.962 0.090 -2.995
-2.216 -4.009 3.553
0.836 7.676 4.454
Tl Sn In
4 1 2
direct
0.000 0.500 0.000
0.198 0.198 0.396
0.802 0.802 0.604
0.500 0.000 0.000
0.000 0.000 0.000
0.392 0.392 0.784
0.608 0.608 0.216
```

***

Material: LiCdIr
Method: DFT, PBE-GGA
State: optimized geometry

Summary:
Spin magnetization = 0.0000 μB per atom
Volume = 15.42 Å³/atom
Formation energy = 0.05 eV/atom
E above lowest polymorph = 0.194 eV per formula unit

Geometry as POSCAR:
```
LiCdIr
1.0
-1.752 -4.130 -2.489
1.156 -1.580 -4.742
1.993 1.643 4.432
Cd Ir Li
1 1 1
direct
0.003 0.003 0.000
0.318 0.318 0.000
0.680 0.680 0.000
```

***

Material: BaSiRh
Method: DFT, PBE-GGA
State: optimized geometry

Summary:
Spin magnetization = 0.0000 μB per atom
Volume = 22.13 Å³/atom
Formation energy without anion corrections = -0.354 eV/atom

Geometry as POSCAR:
```
BaSiRh
1.0
-2.280 5.396 -2.462
-5.284 3.466 0.665
4.810 -3.199 2.648
Si Ba Rh
1 1 1
direct
0.715 0.715 0.000
0.001 0.001 0.000
0.284 0.284 0.000
```

***

Material: ScZn2Ru2
Method: DFT, PBE-GGA
State: optimized geometry

Summary:
Spin magnetization = 0.0000 μB per atom
Volume = 16.48 Å³/atom
Formation energy = 0.04 eV/atom
E above lowest polymorph = 1.025 eV per formula unit

Geometry as POSCAR:
```
ScZn2Ru2
1.0
-0.283 -3.475 1.005
2.940 0.366 2.094
-2.306 0.133 6.359
Zn Ru Sc
2 2 1
direct
0.250 0.750 0.500
0.750 0.250 0.500
0.603 0.603 0.794
0.397 0.397 0.206
0.000 0.000 0.000
```

***

Material: KTbMnBr6
Method: DFT, PBE-GGA
State: optimized geometry

Summary:
Spin magnetization = 0.0980 μB per atom
Volume = 34.17 Å³/atom
Formation energy without anion corrections = -1.225 eV/atom

Geometry as POSCAR:
```
KTbMnBr6
1.0
6.894 0.000 0.000
-3.447 5.970 0.000
0.000 0.000 14.944
Br K Tb Mn
12 2 2 2
direct
0.619 0.968 0.852
0.381 0.349 0.352
0.968 0.619 0.352
0.349 0.968 0.648
0.381 0.032 0.148
0.619 0.651 0.648
0.032 0.381 0.648
0.349 0.381 0.852
0.651 0.032 0.352
0.032 0.651 0.852
0.651 0.619 0.148
0.968 0.349 0.148
0.000 0.000 0.500
0.000 0.000 0.000
0.667 0.333 0.750
0.333 0.667 0.250
0.667 0.333 0.250
0.333 0.667 0.750
```

***

Material: GePdI2
Method: DFT, PBE-GGA
State: optimized geometry

Summary:
Spin magnetization = 0.0000 μB per atom
Volume = 34.08 Å³/atom
E above lowest polymorph = 0.078 eV per formula unit
Formation energy without anion corrections = 0.159 eV/atom

Geometry as POSCAR:
```
GePdI2
1.0
-0.094 -3.404 2.538
0.665 -3.871 -1.614
8.752 -1.567 1.777
Ge Pd I
1 1 2
direct
0.500 0.500 0.500
0.000 0.000 0.000
0.902 0.902 0.293
0.098 0.098 0.707
```

***

Material: Nb3FeSe6
Method: DFT, PBE-GGA
State: optimized geometry

Summary:
Spin magnetization = 0.3755 μB per atom
Volume = 20.36 Å³/atom
E above lowest polymorph = 0.000 eV per formula unit
Formation energy without anion corrections = -0.771 eV/atom

Geometry as POSCAR:
```
Nb3FeSe6
1.0
-5.783 -0.018 -1.846
4.396 -1.821 -3.770
-1.316 -11.960 4.241
Se Nb Fe
12 6 2
direct
0.666 0.671 0.869
0.005 0.671 0.631
0.671 0.666 0.131
0.329 0.334 0.631
0.995 0.666 0.369
0.329 0.995 0.869
0.995 0.329 0.131
0.005 0.334 0.869
0.334 0.329 0.369
0.334 0.005 0.131
0.671 0.005 0.369
0.666 0.995 0.631
0.000 0.000 0.000
0.333 0.667 0.499
0.000 0.000 0.500
0.667 0.333 0.501
0.333 0.667 0.001
0.667 0.333 0.999
0.333 0.667 0.250
0.667 0.333 0.750
```

***

Material: Cs2HfFeI6
Method: DFT, PBE-GGA
State: optimized geometry

Summary:
Spin magnetization = 0.2012 μB per atom
Volume = 38.99 Å³/atom
Formation energy without anion corrections = -0.743 eV/atom

Geometry as POSCAR:
```
Cs2HfFeI6
1.0
-0.886 5.896 5.632
-7.835 0.952 -2.230
-5.955 -0.548 5.609
I Cs Hf Fe
6 2 1 1
direct
0.749 0.251 0.000
0.251 0.749 0.000
0.251 0.251 0.000
0.749 0.749 0.502
0.251 0.251 0.498
0.749 0.749 0.000
0.250 0.750 0.500
0.750 0.250 0.500
0.000 0.000 0.000
0.500 0.500 0.000
```

***

Material: Tl2TcRh
Method: DFT, PBE-GGA
State: optimized geometry

Summary:
Spin magnetization = 0.3155 μB per atom
Volume = 19.24 Å³/atom
Formation energy = 0.64 eV/atom
E above lowest polymorph = 1.322 eV per formula unit

Geometry as POSCAR:
```
Tl2TcRh
1.0
-3.093 0.765 -0.710
-0.556 -4.558 -2.488
-1.360 -1.933 3.845
Rh Tl Tc
1 2 1
direct
0.500 0.000 0.500
0.500 0.500 0.000
0.000 0.000 0.000
0.000 0.500 0.500
```

***

Material: Ho4Ge2Br3
Method: DFT, PBE-GGA
State: optimized geometry

Summary:
Spin magnetization = 0.0000 μB per atom
Volume = 28.76 Å³/atom
Formation energy without anion corrections = -1.272 eV/atom

Geometry as POSCAR:
```
Ho4Ge2Br3
1.0
-2.827 -2.115 -2.163
4.026 -0.453 -0.855
0.956 -13.068 11.501
Br Ho Ge
3 4 2
direct
0.666 0.334 0.391
0.334 0.666 0.609
0.000 0.000 0.000
0.666 0.334 0.117
0.999 0.001 0.291
0.334 0.666 0.883
0.001 0.999 0.709
0.333 0.667 0.200
0.667 0.333 0.800
```

***

Material: BaCuRu2
Method: DFT, PBE-GGA
State: optimized geometry

Summary:
Spin magnetization = 0.0000 μB per atom
Volume = 23.15 Å³/atom
Formation energy = 0.20 eV/atom
E above lowest polymorph = 0.000 eV per formula unit

Geometry as POSCAR:
```
BaCuRu2
1.0
-2.021 -2.262 -3.046
-1.685 -3.841 0.940
-6.240 0.495 0.722
Ba Ru Cu
1 2 1
direct
0.499 0.499 0.503
0.686 0.686 0.941
0.010 0.010 0.969
0.304 0.304 0.087
```

***

Material: Na2HoAsS4
Method: DFT, PBE-GGA
State: optimized geometry

Summary:
Spin magnetization = 0.0000 μB per atom
Volume = 21.73 Å³/atom
Formation energy without anion corrections = -1.173 eV/atom

Geometry as POSCAR:
```
Na2HoAsS4
1.0
3.880 0.000 0.000
0.000 6.729 0.114
0.000 -2.353 6.619
Na S Ho As
2 4 1 1
direct
0.000 0.500 0.500
0.500 0.000 0.500
0.000 0.751 0.223
0.000 0.249 0.777
0.500 0.771 0.782
0.500 0.229 0.218
0.500 0.500 0.000
0.000 0.000 0.000
```

***

Material: Sr2LaSb
Method: DFT, PBE-GGA
State: optimized geometry

Summary:
Spin magnetization = 0.0000 μB per atom
Volume = 37.35 Å³/atom
Formation energy without anion corrections = -0.243 eV/atom

Geometry as POSCAR:
```
Sr2LaSb
1.0
-1.068 -3.141 6.064
5.568 -1.764 -3.698
2.630 1.723 2.031
Sr La Sb
2 1 1
direct
0.000 0.000 0.000
0.500 0.500 0.000
0.500 0.000 0.500
0.000 0.500 0.500
```

***

Material: MnPBr
Method: DFT, PBE-GGA
State: optimized geometry

Summary:
Spin magnetization = 0.9785 μB per atom
Volume = 22.32 Å³/atom
E above lowest polymorph = 0.476 eV per formula unit
Formation energy without anion corrections = -0.060 eV/atom

Geometry as POSCAR:
```
MnPBr
1.0
6.583 0.125 0.000
4.848 4.454 0.000
-5.715 -2.290 2.332
Br Mn P
1 1 1
direct
0.973 0.973 0.000
0.784 0.784 0.000
0.243 0.243 0.000
```

***

Material: ErHfMgIn
Method: DFT, PBE-GGA
State: optimized geometry

Summary:
Spin magnetization = 0.0000 μB per atom
Volume = 23.36 Å³/atom
Formation energy = -0.08 eV/atom

Geometry as POSCAR:
```
ErHfMgIn
1.0
-4.737 1.508 1.106
-2.266 -1.639 4.257
-0.810 3.225 3.858
Er Hf In Mg
1 1 1 1
direct
0.750 0.750 0.750
0.250 0.250 0.250
0.000 0.000 0.000
0.500 0.500 0.500
```

***

Material: Tl5In4
Method: DFT, PBE-GGA
State: optimized geometry

Summary:
Spin magnetization = 0.0000 μB per atom
Volume = 29.71 Å³/atom
Formation energy = 0.04 eV/atom
E above lowest polymorph = 0.143 eV per formula unit

Geometry as POSCAR:
```
Tl5In4
1.0
9.664 0.000 0.000
-4.832 8.369 0.000
0.000 0.000 6.613
Tl In
10 8
direct
0.667 0.333 0.000
0.359 0.359 0.250
0.641 0.000 0.250
0.359 0.000 0.750
0.641 0.641 0.750
0.000 0.359 0.750
0.667 0.333 0.500
0.333 0.667 0.000
0.333 0.667 0.500
0.000 0.641 0.250
0.000 0.000 0.500
0.301 0.301 0.750
0.699 0.000 0.750
0.699 0.699 0.250
0.000 0.301 0.250
0.000 0.699 0.750
0.000 0.000 0.000
0.301 0.000 0.250
```

***

Material: Tb2CeTm3Te6
Method: DFT, PBE-GGA
State: optimized geometry

Summary:
Spin magnetization = 0.1122 μB per atom
Volume = 29.26 Å³/atom
Formation energy without anion corrections = -1.255 eV/atom

Geometry as POSCAR:
```
Tb2CeTm3Te6
1.0
-2.430 3.364 -1.176
-3.207 0.545 8.186
8.950 3.926 0.644
Tb Tm Te Ce
2 3 6 1
direct
0.837 0.673 0.673
0.163 0.327 0.327
0.500 0.500 0.000
0.165 0.833 0.329
0.835 0.167 0.671
0.667 0.586 0.334
0.333 0.414 0.666
0.672 0.080 0.343
0.002 0.740 0.003
0.998 0.260 0.997
0.328 0.920 0.657
0.500 0.000 0.000
```

***

Material: CaCu6Au6
Method: DFT, PBE-GGA
State: optimized geometry

Summary:
Spin magnetization = 0.0000 μB per atom
Volume = 16.17 Å³/atom
Formation energy = -0.21 eV/atom

Geometry as POSCAR:
```
CaCu6Au6
1.0
5.169 0.000 0.000
2.585 6.376 -0.104
2.585 0.048 6.377
Au Cu Ca
6 6 1
direct
0.313 0.187 0.187
0.658 0.342 0.342
0.000 0.662 0.338
0.000 0.338 0.662
0.687 0.813 0.813
0.342 0.658 0.658
0.000 0.500 0.000
0.500 0.000 0.500
0.000 0.000 0.500
0.500 0.236 0.764
0.500 0.500 0.000
0.500 0.764 0.236
0.000 0.000 0.000
```

***

Material: ErPaRh6
Method: DFT, PBE-GGA
State: optimized geometry

Summary:
Spin magnetization = 0.0000 μB per atom
Volume = 16.50 Å³/atom
Formation energy = -0.75 eV/atom

Geometry as POSCAR:
```
ErPaRh6
1.0
-0.729 0.647 -3.887
5.404 -1.467 -1.257
-1.626 -5.471 -0.606
Rh Er Pa
6 1 1
direct
0.000 0.246 0.246
0.500 0.500 0.000
0.000 0.754 0.754
0.000 0.246 0.754
0.500 0.000 0.500
0.000 0.754 0.246
0.500 0.500 0.500
0.500 0.000 0.000
```

***

Material: TaTlCo2
Method: DFT, PBE-GGA
State: optimized geometry

Summary:
Spin magnetization = 0.7513 μB per atom
Volume = 16.41 Å³/atom
Formation energy = 0.58 eV/atom
E above lowest polymorph = 1.892 eV per formula unit

Geometry as POSCAR:
```
TaTlCo2
1.0
-3.169 -7.471 3.259
-3.004 -8.204 0.382
-0.607 -8.462 2.121
Tl Ta Co
1 1 2
direct
0.743 0.743 0.743
0.511 0.511 0.511
0.257 0.257 0.257
0.990 0.990 0.990
```